Entry 1:
The following is a PBE-GGA calculation of an optimized crystal structure of NaSr3Ni, from the Alexandria database.

abc: 6.6313 6.6313 13.8197
angles: 76.12 76.12 90.00
Positions (direct):
Sr  0.6244  0.8670  0.2659
Sr  0.1330  0.3756  0.7341
Sr  0.1330  0.8904  0.7341
Sr  0.1096  0.8670  0.2659
Sr  0.2785  0.2785  0.4430
Sr  0.7215  0.7215  0.5570
Na  0.0000  0.0000  0.0000
Na  0.2500  0.7500  0.5000
Ni  0.7062  0.2062  0.5877
Ni  0.7938  0.2938  0.4123

For the energy of formation, the calculation gives 0.72 eV/atom. As for the calculated volume: 571.7 Å³/cell. The energy above the most stable polymorph in this dataset comes out at 740 meV per atom. For the density of states at the Fermi level, the calculation gives 14.85 states/eV/cell. The space group is I-4m2.

Entry 2:
The following is a PBE-GGA calculation of an optimized crystal structure of Na2Sr5Ni2, from the Alexandria database.

abc: 8.1535 8.1384 10.9785
angles: 90.00 68.20 90.00
Positions (direct):
Na  0.2307  0.0000  0.5387
Na  0.7307  0.5000  0.5387
Na  0.7693  0.0000  0.4613
Na  0.2693  0.5000  0.4613
Sr  0.0000  0.0000  0.0000
Sr  0.5000  0.5000  0.0000
Sr  0.4295  0.1742  0.7921
Sr  0.7784  0.8258  0.7921
Sr  0.2784  0.6742  0.7921
Sr  0.9295  0.3258  0.7921
Sr  0.5705  0.8258  0.2079
Sr  0.2216  0.1742  0.2079
Sr  0.7216  0.3258  0.2079
Sr  0.0705  0.6742  0.2079
Ni  0.1042  0.3965  0.0000
Ni  0.8958  0.6035  0.0000
Ni  0.3958  0.8965  0.0000
Ni  0.6042  0.1035  0.0000

For the energy of formation, the calculation gives 0.01 eV/atom. As for the calculated volume: 676.4 Å³/cell. For the density of states at the Fermi level, the calculation gives 11.17 states/eV/cell. The space group is Cmce.

Entry 3:
The following is a PBE-GGA calculation of an optimized crystal structure of NaSr3Ni, from the Alexandria database.

abc: 13.8417 9.9358 9.9358
angles: 96.67 128.38 51.62
Positions (direct):
Sr  0.4808  0.2039  0.4187
Sr  0.0192  0.9187  0.7039
Sr  0.5192  0.7961  0.5813
Sr  0.9808  0.0813  0.2961
Sr  0.0824  0.2485  0.0873
Sr  0.4176  0.5873  0.7485
Sr  0.9176  0.7515  0.9127
Sr  0.5824  0.4127  0.2515
Sr  0.5009  0.1146  0.8548
Sr  0.9991  0.3548  0.6146
Sr  0.4991  0.8854  0.1452
Sr  0.0009  0.6452  0.3854
Na  0.7500  0.2641  0.7641
Na  0.2500  0.7359  0.2359
Na  0.7500  0.5685  0.0685
Na  0.2500  0.4315  0.9315
Ni  0.1842  0.2038  0.4627
Ni  0.3158  0.9627  0.7038
Ni  0.8158  0.7962  0.5373
Ni  0.6842  0.0373  0.2962

For the energy of formation, the calculation gives 0.08 eV/atom. As for the calculated volume: 754.7 Å³/cell. The energy above the most stable polymorph in this dataset comes out at 100 meV per atom. For the density of states at the Fermi level, the calculation gives 15.73 states/eV/cell. The space group is C2/c.

Which value of calculated volume does entry 3 give?
754.7 Å³/cell